(1)
## SmTm2In (PBE-GGA)

Data for crystalline SmTm2In at its relaxed geometry.

Cell and atoms, written as extended XYZ:
```
4
Lattice="-3.3285 0.1361 1.2232 -1.3892 -2.8007 1.6792 2.0863 3.0068 10.4907" Properties=species:S:1:pos:R:3 pbc="T T T"
Tm -0.7218 0.0174 3.1818
Tm 1.2332 2.0986 8.2703
Sm -1.3154 0.1714 6.6974
In -3.1431 -1.7743 1.9402
```

Results
* calculated volume: 29.8 Å³ per atom
* DOS at the Fermi energy: 5.23 states/eV/f.u.
* energy relative to the lowest polymorph listed for this composition: 0.1244 eV per atom
* space group: R3m, No. 160
* energy relative to the elements: -0.13 eV per atom


(2)
## Sm3Tm4In2 (PBE-GGA)

Data for crystalline Sm3Tm4In2 at its relaxed geometry.

Cell and atoms, written as extended XYZ:
```
18
Lattice="-2.3625 0.7004 5.9779 2.5873 -8.4923 2.6307 7.7804 3.8353 3.2387" Properties=species:S:1:pos:R:3 pbc="T T T"
In 2.5840 -2.2619 1.9059
In 5.8318 -3.8744 6.8621
In 2.1735 -0.0822 4.9851
In 5.4212 -1.6948 9.9412
Tm 5.6198 1.3553 9.1774
Tm 1.3242 -3.3795 5.4832
Tm 4.3272 0.5948 2.7076
Tm 2.3855 -5.3120 2.6698
Tm 6.6810 -0.5771 6.3639
Tm 3.6781 -4.5514 9.1396
Tm 3.8195 -6.0724 5.8394
Tm 4.1858 2.1158 6.0078
Sm 8.6231 -4.9020 5.7454
Sm 8.1460 -2.8803 8.8168
Sm 3.5876 -1.3864 7.4386
Sm -0.6178 0.9454 6.1018
Sm -0.1407 -1.0763 3.0304
Sm 4.4177 -2.5702 4.4086
```

Results
* calculated volume: 30.6 Å³ per atom
* DOS at the Fermi energy: 11.29 states/eV/f.u.
* space group: C2/c, No. 15
* energy relative to the elements: -0.11 eV per atom


(3)
## Sm3Tm4In4 (PBE-GGA)

Data for crystalline Sm3Tm4In4 at its relaxed geometry.

Cell and atoms, written as extended XYZ:
```
11
Lattice="-5.0847 -0.7746 -1.1097 1.6865 -1.6367 -6.5852 2.4791 -7.1898 6.1339" Properties=species:S:1:pos:R:3 pbc="T T T"
Tm -1.0230 -4.5995 -4.5762
Tm 0.8970 -5.7713 -0.0813
Tm 0.1039 -5.0017 3.0152
Tm -1.8160 -3.8299 -1.4797
In -2.1807 -0.7383 -1.9670
In -2.0400 -5.7939 0.9176
In 1.1210 -3.8073 -2.4786
In -1.2175 -1.6730 -5.7279
Sm 0.1617 -1.7403 0.4739
Sm -1.0807 -7.8609 -2.0350
Sm 0.8433 -0.8183 -3.2926
```

Results
* calculated volume: 29.2 Å³ per atom
* DOS at the Fermi energy: 10.38 states/eV/f.u.
* space group: Immm, No. 71
* energy relative to the elements: -0.27 eV per atom


(4)
## Sm2TmIn (PBE-GGA)

Data for crystalline Sm2TmIn at its relaxed geometry.

Cell and atoms, written as extended XYZ:
```
4
Lattice="5.4982 0.0000 0.0000 2.7491 4.7616 0.0000 2.7491 1.5872 4.4892" Properties=species:S:1:pos:R:3 pbc="T T T"
Tm 0.0000 0.0000 0.0000
In 5.4982 3.1744 2.2446
Sm 8.2473 4.7616 3.3669
Sm 2.7491 1.5872 1.1223
```

Results
* calculated volume: 29.4 Å³ per atom
* DOS at the Fermi energy: 6.88 states/eV/f.u.
* energy relative to the lowest polymorph listed for this composition: 0.1121 eV per atom
* space group: Fm-3m, No. 225
* energy relative to the elements: -0.15 eV per atom


(5)
## Sm2TmIn5 (PBE-GGA)

Data for crystalline Sm2TmIn5 at its relaxed geometry.

Cell and atoms, written as extended XYZ:
```
8
Lattice="-6.3619 0.8468 -1.3562 1.5573 -5.9731 2.2198 2.2449 3.6234 4.9861" Properties=species:S:1:pos:R:3 pbc="T T T"
In -2.6250 -0.1271 1.0935
In 1.6569 -3.1932 2.8236
In -0.1254 -1.2579 4.3950
In 1.9546 0.9613 4.0211
In 2.8989 -1.7915 5.4941
Sm -1.5142 -3.1119 2.1149
Sm -1.1704 1.6863 3.4981
Tm 0.5650 -0.3491 1.0708
```

Results
* calculated volume: 26.6 Å³ per atom
* DOS at the Fermi energy: 5.88 states/eV/f.u.
* space group: I4mm, No. 107
* energy relative to the elements: -0.44 eV per atom


(6)
## SmTm6In4 (PBE-GGA)

Data for crystalline SmTm6In4 at its relaxed geometry.

Cell and atoms, written as extended XYZ:
```
11
Lattice="-2.5060 0.4079 -2.6704 6.9780 -1.9820 -6.8512 -5.3897 -7.4237 3.9240" Properties=species:S:1:pos:R:3 pbc="T T T"
Tm -1.9757 -2.9955 -1.1457
Tm -4.2915 -6.1853 0.5403
Tm 1.2424 -4.5057 -1.8541
Tm 3.3512 -1.6010 -3.3895
Tm 3.9726 -5.2812 -4.5348
Tm -1.2933 -7.0369 -2.4034
In 0.9585 -6.4425 -4.4258
In 3.6972 -2.6703 -6.4197
In 0.1515 -1.6631 -2.9384
In -1.2672 -5.6098 0.3323
Sm 0.0000 0.0000 0.0000
```

Results
* calculated volume: 28.9 Å³ per atom
* DOS at the Fermi energy: 9.98 states/eV/f.u.
* space group: P-6m2, No. 187
* energy relative to the elements: -0.28 eV per atom


(7)
## SmTmIn4 (PBE-GGA)

Data for crystalline SmTmIn4 at its relaxed geometry.

Cell and atoms, written as extended XYZ:
```
6
Lattice="6.0083 0.0000 0.0000 3.0042 5.2034 0.0000 3.0042 1.7345 4.9058" Properties=species:S:1:pos:R:3 pbc="T T T"
In 6.0083 1.7338 3.0663
In 6.0083 3.4689 0.6125
In 4.5057 4.3365 3.0663
In 7.5110 4.3365 3.0663
Sm 3.0042 1.7345 1.2264
Tm 0.0000 0.0000 0.0000
```

Results
* calculated volume: 25.6 Å³ per atom
* DOS at the Fermi energy: 4.19 states/eV/f.u.
* energy relative to the lowest polymorph listed for this composition: 0.0000 eV per atom
* space group: F-43m, No. 216
* energy relative to the elements: -0.33 eV per atom


(8)
## Sm6TmIn3 (PBE-GGA)

Data for crystalline Sm6TmIn3 at its relaxed geometry.

Cell and atoms, written as extended XYZ:
```
20
Lattice="-3.2456 3.8325 1.1310 -0.8904 -3.6376 9.7716 8.7528 6.8189 2.0112" Properties=species:S:1:pos:R:3 pbc="T T T"
Sm 3.6951 7.1364 3.9951
Sm 3.6536 5.0967 10.7880
Sm 7.0881 6.9144 2.7683
Sm 0.9632 1.9171 2.1258
Sm 1.1620 3.5313 8.9422
Sm 4.6533 3.3458 7.8742
Sm 0.9218 -0.1226 8.9187
Sm -2.4713 0.0993 10.1455
Sm 3.4548 3.4824 3.9716
Sm -0.3680 -0.0350 4.9204
Sm 4.9848 7.0487 7.9933
Sm -0.0365 3.6680 5.0396
In -1.3189 1.8534 7.5086
In -2.4330 2.1492 3.3091
In 5.9357 5.1603 5.4052
In 2.1164 1.6279 6.4152
In 7.0498 4.8645 9.6047
In 2.5004 5.3859 6.4986
Tm 3.5387 1.5441 10.7806
Tm 1.0781 5.4696 2.1332
```

Results
* calculated volume: 30.2 Å³ per atom
* DOS at the Fermi energy: 12.10 states/eV/f.u.
* energy relative to the lowest polymorph listed for this composition: 0.0000 eV per atom
* space group: P2_1/m, No. 11
* energy relative to the elements: -0.26 eV per atom


(9)
## Sm3Tm2In2 (PBE-GGA)

Data for crystalline Sm3Tm2In2 at its relaxed geometry.

Cell and atoms, written as extended XYZ:
```
7
Lattice="3.7361 -0.0038 0.0028 -1.8593 6.5931 -0.3468 -0.0078 -1.0110 8.5075" Properties=species:S:1:pos:R:3 pbc="T T T"
Sm 1.8711 3.0062 1.2444
Sm 0.0000 0.0000 0.0000
Sm -0.0021 2.5721 6.9192
Tm 1.8698 4.2329 4.4898
Tm -0.0008 1.3454 3.6738
In 1.8639 -0.0139 6.0249
In 0.0051 5.5922 2.1387
```

Results
* calculated volume: 29.7 Å³ per atom
* DOS at the Fermi energy: 6.72 states/eV/f.u.
* energy relative to the lowest polymorph listed for this composition: 0.0000 eV per atom
* space group: C2/m, No. 12
* energy relative to the elements: -0.26 eV per atom


(10)
## Sm2Tm2In3 (PBE-GGA)

Data for crystalline Sm2Tm2In3 at its relaxed geometry.

Cell and atoms, written as extended XYZ:
```
7
Lattice="-0.5943 -2.7241 2.4919 6.6787 1.0836 -0.0224 -4.3224 5.8450 5.3646" Properties=species:S:1:pos:R:3 pbc="T T T"
Sm -0.4863 2.5759 2.6987
Sm 2.2483 1.6286 5.1354
Tm -2.2185 3.3565 5.9523
Tm 3.9805 0.8480 1.8818
In 1.1433 -0.2557 2.7981
In 0.0000 0.0000 0.0000
In 0.6187 4.4602 5.0360
```

Results
* calculated volume: 29.0 Å³ per atom
* DOS at the Fermi energy: 7.62 states/eV/f.u.
* energy relative to the lowest polymorph listed for this composition: 0.0272 eV per atom
* space group: P-1, No. 2
* energy relative to the elements: -0.27 eV per atom


(11)
## Sm15Tm4In (PBE-GGA)

Data for crystalline Sm15Tm4In at its relaxed geometry.

Cell and atoms, written as extended XYZ:
```
20
Lattice="5.0406 0.0000 0.0000 0.0000 5.0406 0.0000 0.0000 0.0000 25.3989" Properties=species:S:1:pos:R:3 pbc="T T T"
Sm 0.0000 2.5203 7.5867
Sm 2.5203 0.0000 2.4707
Sm 0.0000 2.5203 17.8122
Sm 2.5203 2.5203 0.0000
Sm 2.5203 2.5203 10.1352
Sm 2.5203 2.5203 20.3840
Sm 2.5203 0.0000 7.5867
Sm 2.5203 0.0000 12.6995
Sm 2.5203 2.5203 15.2637
Sm 2.5203 0.0000 17.8122
Sm 2.5203 2.5203 5.0149
Sm 0.0000 2.5203 22.9282
Sm 2.5203 0.0000 22.9282
Sm 0.0000 2.5203 12.6995
Sm 0.0000 2.5203 2.4707
Tm 0.0000 0.0000 10.1505
Tm 0.0000 0.0000 20.3592
Tm 0.0000 0.0000 15.2484
Tm 0.0000 0.0000 5.0397
In 0.0000 0.0000 0.0000
```

Results
* calculated volume: 32.3 Å³ per atom
* DOS at the Fermi energy: 27.01 states/eV/f.u.
* space group: P4/mmm, No. 123
* energy relative to the elements: -0.04 eV per atom